The following is a DFT calculation (PBE) of a relaxed structure of MnCr2MoBr.

Structure (CIF):
```
data_MnCr2MoBr
_cell_length_a 4.217
_cell_length_b 4.217
_cell_length_c 4.518
_cell_angle_alpha 90.00
_cell_angle_beta 90.00
_cell_angle_gamma 90.00
_space_group_name_H-M_alt 'P 4/m m m'
_space_group_IT_number 123
_space_group_name_Hall '-P 4 2'
loop_
_atom_site_label
_atom_site_fract_x
_atom_site_fract_y
_atom_site_fract_z
_atom_site_occupancy
Mn1 0.000 0.000 0.000 1
Cr1 0.000 0.500 0.000 1
Mo1 0.500 0.500 0.500 1
Br1 0.000 0.000 0.500 1
```

## Properties
Mass density = 6.9 g/cm³
E_tot = -6.5205 eV per atom
Energy relative to the elements, uncorrected = 1.66 eV/atom
Size of the total moment = 0.0 μB per formula unit